Compound: Nd6TmSe8
Source: Alexandria
Functional: PBE
Structure: optimized geometry

Structure (extended XYZ):
```
15
Lattice="0.0000 5.9520 5.9520 5.9520 0.0000 5.9520 5.9520 5.9520 0.0000" Properties=species:S:1:pos:R:3 pbc="T T T"
Nd 2.9760 2.9760 0.0000
Nd 2.9760 0.0000 2.9760
Nd 5.9520 2.9760 2.9760
Nd 0.0000 2.9760 2.9760
Nd 2.9760 5.9520 2.9760
Nd 2.9760 2.9760 5.9520
Tm 0.0000 0.0000 0.0000
Se 5.9520 5.9520 2.8921
Se 5.9520 2.8921 5.9520
Se 9.0120 5.9520 5.9520
Se 2.9760 2.9760 2.9760
Se 8.9281 8.9281 8.9281
Se 2.8921 5.9520 5.9520
Se 5.9520 9.0120 5.9520
Se 5.9520 5.9520 9.0120
```

Summary:
E_tot = -5.93 eV per atom

Compound: NdY3Tm2Se6
Source: Alexandria
Functional: PBE
Structure: optimized geometry

Structure (extended XYZ):
```
12
Lattice="8.8917 -2.0335 0.0000 8.8917 2.0335 0.0000 -1.8274 0.0000 8.0265" Properties=species:S:1:pos:R:3 pbc="T T T"
Nd 0.0000 0.0000 0.0000
Y -0.9137 0.0000 4.0132
Y 5.7315 0.0000 1.3270
Y 10.2244 0.0000 6.6995
Tm 4.7461 0.0000 5.3806
Tm 11.2098 0.0000 2.6459
Se 1.9534 0.0000 4.6577
Se 2.9005 0.0000 0.7396
Se 7.4796 0.0000 5.9317
Se 8.4763 0.0000 2.0947
Se 13.0554 0.0000 7.2869
Se 14.0025 0.0000 3.3688
```

Summary:
E_tot = -6.24 eV per atom

Compound: Nd2YTm3Se6
Source: Alexandria
Functional: PBE
Structure: optimized geometry

Structure (extended XYZ):
```
12
Lattice="8.9974 -2.0266 0.0000 8.9974 2.0266 0.0000 -2.1535 0.0000 8.0280" Properties=species:S:1:pos:R:3 pbc="T T T"
Nd 2.3054 0.0000 2.6995
Nd 13.5358 0.0000 5.3285
Y 8.9974 0.0000 0.0000
Tm 1.2556 0.0000 6.6924
Tm 7.9206 0.0000 4.0140
Tm 14.5856 0.0000 1.3356
Se -1.5215 0.0000 6.0016
Se 3.9914 0.0000 7.4655
Se 5.2209 0.0000 3.2544
Se 10.6203 0.0000 4.7735
Se 11.8498 0.0000 0.5624
Se 17.3627 0.0000 2.0263
```

Summary:
E_tot = -5.94 eV per atom

Compound: Nd3Y2TmSe6
Source: Alexandria
Functional: PBE
Structure: optimized geometry

Structure (extended XYZ):
```
12
Lattice="3.5498 -6.1794 0.0000 3.5498 6.1794 0.0000 -2.3797 0.0000 6.8983" Properties=species:S:1:pos:R:3 pbc="T T T"
Nd 0.0000 0.0000 0.0000
Nd 3.5498 2.1011 0.0000
Nd 3.5498 -2.1011 0.0000
Y 2.3599 4.1152 3.4492
Y 2.3599 -4.1152 3.4492
Tm 2.3599 0.0000 3.4492
Se 1.1974 2.0295 1.8387
Se 0.0232 0.0000 5.0774
Se 1.1974 -2.0295 1.8387
Se 3.5225 2.0295 5.0596
Se 4.6967 0.0000 1.8209
Se 3.5225 -2.0295 5.0596
```

Summary:
E_tot = -6.18 eV per atom

Compound: NdY2TmSe6
Source: Alexandria
Functional: PBE
Structure: optimized geometry

Structure (extended XYZ):
```
10
Lattice="3.6282 2.0947 6.5012 -3.6282 2.0947 6.5012 0.0000 -4.1894 6.5012" Properties=species:S:1:pos:R:3 pbc="T T T"
Nd 0.0000 0.0000 0.0000
Y 0.0000 0.0000 5.8117
Y 0.0000 0.0000 15.6330
Tm 0.0000 0.0000 9.6478
Se -2.1598 -0.0897 7.7596
Se -1.3804 -2.0749 10.9822
Se 1.1576 -1.8256 7.7596
Se -1.1067 2.2330 10.9822
Se 1.0022 1.9153 7.7596
Se 2.4871 -0.1581 10.9822
```

Summary:
E_tot = -6.16 eV per atom

Compound: Nd2YTmSe4
Source: Alexandria
Functional: PBE
Structure: optimized geometry

Structure (extended XYZ):
```
8
Lattice="7.0924 0.0000 0.0000 0.0000 4.0671 0.0000 -2.3402 0.0000 6.9688" Properties=species:S:1:pos:R:3 pbc="T T T"
Nd 0.0000 0.0000 0.0000
Nd 3.5462 2.0335 0.0000
Y -1.1701 2.0335 3.4844
Tm 2.3761 0.0000 3.4844
Se 0.0401 0.0000 5.1138
Se 1.2135 2.0335 1.8702
Se 3.5387 2.0335 5.0986
Se 4.7120 0.0000 1.8549
```

Summary:
E_tot = -6.08 eV per atom